Below is an optimized crystal structure of La3MgN, with properties calculated at the PBE level.

## Properties
- symmetry = Cmcm
- theoretical density (Mg/m³) = 3.64
- energy relative to the elements, uncorrected (meV/atom) = 63

a b c (Å): 9.165 9.165 5.528
angles (deg): 90.00 90.00 116.69
Element x y z (fractional)
La1 0.000 0.000 0.000
La2 0.000 0.000 0.500
La3 0.158 0.418 0.750
La4 0.418 0.158 0.250
La5 0.582 0.842 0.750
La6 0.842 0.582 0.250
Mg1 0.198 0.802 0.750
Mg2 0.802 0.198 0.250
N1 0.332 0.668 0.750
N2 0.668 0.332 0.250



Below is an optimized crystal structure of LaMgN2, with properties calculated at the PBE level.

## Properties
- symmetry = R3m
- theoretical density (Mg/m³) = 5.30
- energy relative to the elements, uncorrected (meV/atom) = -462

a b c (Å): 6.006 6.006 6.006
angles (deg): 33.87 33.87 33.87
Element x y z (fractional)
La1 0.000 0.000 0.000
Mg1 0.825 0.825 0.825
N1 0.423 0.423 0.423
N2 0.575 0.575 0.575



Below is an optimized crystal structure of La3MgN, with properties calculated at the PBE level.

## Properties
- symmetry = C2/m
- theoretical density (Mg/m³) = 5.45
- energy relative to the elements, uncorrected (meV/atom) = -549

a b c (Å): 6.508 6.508 9.413
angles (deg): 110.49 110.49 48.90
Element x y z (fractional)
La1 0.109 0.109 0.186
La2 0.143 0.143 0.683
La3 0.362 0.362 0.069
La4 0.638 0.638 0.931
La5 0.857 0.857 0.317
La6 0.891 0.891 0.814
Mg1 0.393 0.393 0.559
Mg2 0.607 0.607 0.441
N1 0.123 0.123 0.928
N2 0.877 0.877 0.072